Record 1
This record from Alexandria via LeMat-Bulk describes a relaxed Sc2Re3Si4 crystal. The functional is GGA-PBEsol.

Geometry as POSCAR:
```
Sc2Re3Si4
1.0
6.564 0.000 0.000
0.000 6.564 0.000
0.000 0.000 12.347
Sc Re Si
8 12 16
direct
0.007 0.341 0.219
0.159 0.507 0.469
0.341 0.007 0.781
0.493 0.841 0.031
0.507 0.159 0.531
0.659 0.993 0.281
0.841 0.493 0.969
0.993 0.659 0.719
0.017 0.185 0.617
0.168 0.168 0.000
0.185 0.017 0.383
0.315 0.517 0.867
0.332 0.668 0.250
0.483 0.685 0.633
0.517 0.315 0.133
0.668 0.332 0.750
0.685 0.483 0.367
0.815 0.983 0.883
0.832 0.832 0.500
0.983 0.815 0.117
0.027 0.279 0.812
0.122 0.804 0.930
0.196 0.878 0.570
0.221 0.527 0.062
0.279 0.027 0.188
0.304 0.378 0.680
0.378 0.304 0.320
0.473 0.779 0.438
0.527 0.221 0.938
0.622 0.696 0.820
0.696 0.622 0.180
0.721 0.973 0.688
0.779 0.473 0.562
0.804 0.122 0.070
0.878 0.196 0.430
0.973 0.721 0.312
```

The theoretical density is 9.50 g/cm3. The formation energy without anion corrections is -0.6980 eV per atom.

***

Record 2
This record from Alexandria via LeMat-Bulk describes a relaxed Sc5Re8Si12 crystal. The functional is GGA-PBEsol.

Geometry as POSCAR:
```
Sc5Re8Si12
1.0
14.400 0.000 0.000
0.000 9.794 2.601
0.000 -9.794 2.601
Sc Re Si
10 16 24
direct
0.000 0.000 0.000
0.173 0.153 0.424
0.173 0.424 0.153
0.325 0.658 0.926
0.325 0.926 0.658
0.500 0.525 0.525
0.675 0.658 0.926
0.675 0.926 0.658
0.827 0.153 0.424
0.827 0.424 0.153
0.000 0.435 0.637
0.000 0.637 0.435
0.125 0.002 0.590
0.125 0.590 0.002
0.221 0.073 0.073
0.269 0.565 0.565
0.393 0.092 0.494
0.393 0.494 0.092
0.500 0.123 0.954
0.500 0.954 0.123
0.607 0.092 0.494
0.607 0.494 0.092
0.731 0.565 0.565
0.779 0.073 0.073
0.875 0.002 0.590
0.875 0.590 0.002
0.000 0.174 0.894
0.000 0.238 0.678
0.000 0.678 0.238
0.000 0.894 0.174
0.102 0.427 0.427
0.147 0.702 0.864
0.147 0.864 0.702
0.258 0.292 0.792
0.258 0.792 0.292
0.351 0.210 0.367
0.351 0.367 0.210
0.379 0.913 0.913
0.500 0.136 0.720
0.500 0.421 0.683
0.500 0.683 0.421
0.500 0.720 0.136
0.621 0.913 0.913
0.649 0.210 0.367
0.649 0.367 0.210
0.742 0.292 0.792
0.742 0.792 0.292
0.853 0.702 0.864
0.853 0.864 0.702
0.898 0.427 0.427
```

The theoretical density is 9.29 g/cm3. The formation energy without anion corrections is -0.6826 eV per atom.

***

Record 3
This record from Alexandria via LeMat-Bulk describes a relaxed ScReSi crystal. The functional is GGA-PBEsol.

Geometry as POSCAR:
```
ScReSi
1.0
0.000 2.951 2.951
2.951 0.000 2.951
2.951 2.951 0.000
Sc Re Si
1 1 1
direct
0.000 0.000 0.000
0.500 0.500 0.500
0.250 0.250 0.250
```

The theoretical density is 8.38 g/cm3. The formation energy without anion corrections is -0.1270 eV per atom.

***

Record 4
This record from Alexandria via LeMat-Bulk describes a relaxed SrSc2Re crystal. The functional is GGA-PBEsol.

Geometry as POSCAR:
```
SrSc2Re
1.0
3.607 0.000 0.000
0.000 3.607 0.000
0.000 0.000 7.675
Sr Sc Re
1 2 1
direct
0.000 0.000 0.000
0.000 0.000 0.408
0.500 0.500 0.628
0.500 0.500 0.286
```

The calculation puts the formation energy at 327 meV per atom. The theoretical density is 6.05 g/cm3.